No. 1
This record from the Alexandria database describes a relaxed LaW crystal. The functional is PBE-GGA.

## Properties
E_tot = -8.422 eV/atom
Density = 10.32 g/cm³
DOS(E_F) = 14.6 states/eV/cell
E_form = 50.0 kJ per mole of atoms
Excess energy over the best structure of this formula in the dataset = 0.1743 eV per atom
Symmetry = No. 59

```
LaW
1.0
3.296 0.000 0.000
0.000 9.651 0.000
0.000 0.000 9.794
La W
6 6
Direct
0.250 0.075 0.134
0.250 0.425 0.134
0.250 0.750 0.298
0.750 0.250 0.702
0.750 0.575 0.866
0.750 0.925 0.866
0.250 0.250 0.413
0.250 0.526 0.598
0.250 0.974 0.598
0.750 0.026 0.402
0.750 0.474 0.402
0.750 0.750 0.587
```

No. 2
This record from the Alexandria database describes a relaxed NdFeAgC crystal. The functional is PBE-GGA.

## Properties
E_tot = -6.382 eV/atom
Density = 7.95 g/cm³
DOS(E_F) = 3.9 states/eV/cell
E_form = -5.4 kJ per mole of atoms
Symmetry = No. 129

```
NdFeAgC
1.0
3.625 0.000 0.000
0.000 3.625 0.000
0.000 0.000 10.171
Nd Fe Ag C
2 2 2 2
Direct
0.250 0.250 0.227
0.750 0.750 0.773
0.250 0.750 0.000
0.750 0.250 0.000
0.250 0.750 0.500
0.750 0.250 0.500
0.250 0.250 0.919
0.750 0.750 0.081
```

No. 3
This record from the Alexandria database describes a relaxed La2GaAuN crystal. The functional is PBE-GGA.

## Properties
E_tot = -4.705 eV/atom
Density = 6.52 g/cm³
DOS(E_F) = 6.9 states/eV/cell
Symmetry = No. 123

```
La2GaAuN
1.0
6.131 0.000 0.000
0.000 6.131 0.000
0.000 0.000 3.783
La Ga Au N
2 1 1 1
Direct
0.000 0.500 0.000
0.500 0.000 0.000
0.000 0.000 0.000
0.500 0.500 0.500
0.000 0.000 0.500
```

> Among the records above, which one has the lowest density?

La2GaAuN

Repeat the first record exactly.
This record from the Alexandria database describes a relaxed LaW crystal. The functional is PBE-GGA.

## Properties
E_tot = -8.422 eV/atom
Density = 10.32 g/cm³
DOS(E_F) = 14.6 states/eV/cell
E_form = 50.0 kJ per mole of atoms
Excess energy over the best structure of this formula in the dataset = 0.1743 eV per atom
Symmetry = No. 59

```
LaW
1.0
3.296 0.000 0.000
0.000 9.651 0.000
0.000 0.000 9.794
La W
6 6
Direct
0.250 0.075 0.134
0.250 0.425 0.134
0.250 0.750 0.298
0.750 0.250 0.702
0.750 0.575 0.866
0.750 0.925 0.866
0.250 0.250 0.413
0.250 0.526 0.598
0.250 0.974 0.598
0.750 0.026 0.402
0.750 0.474 0.402
0.750 0.750 0.587
```

> E_tot of number 1 (LaW)?

-8.422 eV/atom

Please write out number 3 again, unchanged.
This record from the Alexandria database describes a relaxed La2GaAuN crystal. The functional is PBE-GGA.

## Properties
E_tot = -4.705 eV/atom
Density = 6.52 g/cm³
DOS(E_F) = 6.9 states/eV/cell
Symmetry = No. 123

```
La2GaAuN
1.0
6.131 0.000 0.000
0.000 6.131 0.000
0.000 0.000 3.783
La Ga Au N
2 1 1 1
Direct
0.000 0.500 0.000
0.500 0.000 0.000
0.000 0.000 0.000
0.500 0.500 0.500
0.000 0.000 0.500
```